No. 1
Entry from Alexandria: a geometry-optimized Th3In2Ag structure (GGA-PBE).

Lattice parameters (Å, degrees): 3.4808 3.4808 13.6553 90.00 90.00 90.00
Sites, in units of the cell vectors:
1 Th 0.0000 0.0000 0.0000
2 Th 0.0000 0.0000 0.6576
3 Th 0.0000 0.0000 0.3424
4 In 0.5000 0.5000 0.8287
5 In 0.5000 0.5000 0.1713
6 Ag 0.5000 0.5000 0.5000

Computed properties:
The calculation puts the energy relative to the elements at -208 meV per atom. Its electronic total energy is -5.31 eV per atom.

No. 2
Entry from Alexandria: a geometry-optimized Th2In2Ag3 structure (GGA-PBE).

Lattice parameters (Å, degrees): 4.3752 7.7647 10.4791 90.00 102.05 90.00
Sites, in units of the cell vectors:
1 Th 0.1490 0.2500 0.2980
2 Th 0.8510 0.7500 0.7020
3 Th 0.9468 0.2500 0.8936
4 Th 0.0532 0.7500 0.1064
5 In 0.6861 0.9435 0.3723
6 In 0.3139 0.0565 0.6277
7 In 0.3139 0.4435 0.6277
8 In 0.6861 0.5565 0.3723
9 Ag 0.2303 0.7500 0.4606
10 Ag 0.7697 0.2500 0.5394
11 Ag 0.5588 0.4286 0.1176
12 Ag 0.4412 0.5714 0.8824
13 Ag 0.4412 0.9286 0.8824
14 Ag 0.5588 0.0714 0.1176

Computed properties:
The calculation puts the energy relative to the elements at -101 meV per atom. Its electronic total energy is -4.22 eV per atom.

No. 3
Entry from Alexandria: a geometry-optimized ThInAg2 structure (GGA-PBE).

Lattice parameters (Å, degrees): 5.0807 5.0807 5.0807 60.00 60.00 60.00
Sites, in units of the cell vectors:
1 Ag 0.2500 0.2500 0.2500
2 Ag 0.7500 0.7500 0.7500
3 Th 0.5000 0.5000 0.5000
4 In 0.0000 0.0000 0.0000

Computed properties:
The value obtained for the energy above the lowest structure with this stoichiometry is 0.000 eV per atom. The calculation puts the energy relative to the elements at -217 meV per atom. Its electronic total energy is -4.18 eV per atom.

No. 4
Entry from Alexandria: a geometry-optimized Th2InAg structure (GGA-PBE).

Lattice parameters (Å, degrees): 6.6180 6.6739 6.6739 65.18 60.28 60.28
Sites, in units of the cell vectors:
1 Th 0.2283 0.2717 0.7717
2 Th 0.2717 0.7283 0.2283
3 Th 0.7717 0.7283 0.2283
4 Th 0.7283 0.2717 0.7717
5 In 0.2500 0.2127 0.2873
6 In 0.7500 0.7873 0.7127
7 Ag 0.7500 0.2110 0.2890
8 Ag 0.2500 0.7890 0.7110

Computed properties:
The calculation puts the energy relative to the elements at -150 meV per atom. Its electronic total energy is -5.26 eV per atom.

No. 5
Entry from Alexandria: a geometry-optimized ThIn6Ag structure (GGA-PBE).

Lattice parameters (Å, degrees): 4.8056 6.7231 6.7231 71.49 90.00 90.00
Sites, in units of the cell vectors:
1 Th 0.5000 0.0000 0.0000
2 In 0.0000 0.7012 0.2988
3 In 0.0000 0.2988 0.7012
4 In 0.0000 0.7808 0.7808
5 In 0.0000 0.2192 0.2192
6 In 0.5000 0.5000 0.0000
7 In 0.5000 0.0000 0.5000
8 Ag 0.5000 0.5000 0.5000

Computed properties:
The calculation puts the energy relative to the elements at -104 meV per atom. Its electronic total energy is -3.44 eV per atom.

No. 6
Entry from Alexandria: a geometry-optimized Th2In8Ag structure (GGA-PBE).

Lattice parameters (Å, degrees): 4.8053 4.8053 12.4436 90.00 90.00 90.00
Sites, in units of the cell vectors:
1 Th 0.0000 0.0000 0.3142
2 Th 0.0000 0.0000 0.6858
3 In 0.0000 0.5000 0.5000
4 In 0.5000 0.0000 0.5000
5 In 0.5000 0.5000 0.3128
6 In 0.5000 0.5000 0.6872
7 In 0.0000 0.5000 0.1285
8 In 0.5000 0.0000 0.1285
9 In 0.0000 0.5000 0.8715
10 In 0.5000 0.0000 0.8715
11 Ag 0.0000 0.0000 0.0000

Computed properties:
The calculation puts the energy relative to the elements at -240 meV per atom. Its electronic total energy is -3.84 eV per atom.

No. 7
Entry from Alexandria: a geometry-optimized Th3In3Ag2 structure (GGA-PBE).

Lattice parameters (Å, degrees): 4.7960 6.0954 15.7544 90.00 90.00 113.17
Sites, in units of the cell vectors:
1 Th 0.9152 0.8305 0.3879
2 Th 0.0848 0.1695 0.8879
3 Th 0.9152 0.8305 0.1121
4 Th 0.0848 0.1695 0.6121
5 Th 0.6510 0.3020 0.2500
6 Th 0.3490 0.6980 0.7500
7 In 0.6152 0.2303 0.4585
8 In 0.3848 0.7697 0.9585
9 In 0.6152 0.2303 0.0415
10 In 0.3848 0.7697 0.5415
11 In 0.3587 0.7175 0.2500
12 In 0.6413 0.2825 0.7500
13 Ag 0.7892 0.5785 0.8987
14 Ag 0.2108 0.4215 0.3987
15 Ag 0.7892 0.5785 0.6013
16 Ag 0.2108 0.4215 0.1013

Computed properties:
The calculation puts the energy relative to the elements at -243 meV per atom. Its electronic total energy is -4.77 eV per atom.

No. 8
Entry from Alexandria: a geometry-optimized Th3In2Ag6 structure (GGA-PBE).

Lattice parameters (Å, degrees): 3.9046 3.9046 18.2531 96.14 96.14 90.00
Sites, in units of the cell vectors:
1 Th 0.0000 0.0000 0.0000
2 Th 0.8178 0.8178 0.6355
3 Th 0.1822 0.1822 0.3645
4 In 0.3688 0.3688 0.7377
5 In 0.6312 0.6312 0.2623
6 Ag 0.0704 0.5704 0.1408
7 Ag 0.5704 0.0704 0.1408
8 Ag 0.9296 0.4296 0.8592
9 Ag 0.4296 0.9296 0.8592
10 Ag 0.7307 0.7307 0.4614
11 Ag 0.2693 0.2693 0.5386

Computed properties:
The calculation puts the energy relative to the elements at 63 meV per atom. Its electronic total energy is -4.01 eV per atom.

No. 9
Entry from Alexandria: a geometry-optimized ThInAg2 structure (GGA-PBE).

Lattice parameters (Å, degrees): 4.2675 4.7721 4.7721 90.00 90.00 90.00
Sites, in units of the cell vectors:
1 Th 0.5000 0.5000 0.5000
2 Ag 0.0000 0.0000 0.5000
3 Ag 0.0000 0.5000 0.0000
4 In 0.5000 0.0000 0.0000

Computed properties:
The value obtained for the energy above the lowest structure with this stoichiometry is 0.189 eV per atom. The calculation puts the energy relative to the elements at -27 meV per atom. Its electronic total energy is -3.99 eV per atom.

No. 10
Entry from Alexandria: a geometry-optimized Th2InAg structure (GGA-PBE).

Lattice parameters (Å, degrees): 3.4433 3.4433 9.1056 90.00 90.00 90.00
Sites, in units of the cell vectors:
1 Ag 0.5000 0.5000 0.0000
2 Th 0.0000 0.0000 0.7603
3 Th 0.0000 0.0000 0.2397
4 In 0.5000 0.5000 0.5000

Computed properties:
The calculation puts the energy relative to the elements at -173 meV per atom. Its electronic total energy is -5.28 eV per atom.

No. 11
Entry from Alexandria: a geometry-optimized Th3In4Ag4 structure (GGA-PBE).

Lattice parameters (Å, degrees): 4.6961 7.3803 8.9501 114.35 105.21 90.00
Sites, in units of the cell vectors:
1 Th 0.1201 0.1201 0.2402
2 Th 0.8799 0.8799 0.7598
3 Th 0.0000 0.5000 0.0000
4 In 0.3311 0.1324 0.6623
5 In 0.6689 0.4701 0.3377
6 In 0.6689 0.8676 0.3377
7 In 0.3311 0.5299 0.6623
8 Ag 0.2146 0.7146 0.4291
9 Ag 0.7854 0.2854 0.5709
10 Ag 0.5000 0.8077 0.0000
11 Ag 0.5000 0.1923 0.0000

Computed properties:
The calculation puts the energy relative to the elements at -171 meV per atom. Its electronic total energy is -4.23 eV per atom.

No. 12
Entry from Alexandria: a geometry-optimized ThInAg4 structure (GGA-PBE).

Lattice parameters (Å, degrees): 5.6661 5.6661 5.6661 60.00 60.00 60.00
Sites, in units of the cell vectors:
1 Ag 0.6250 0.6250 0.1249
2 Ag 0.6250 0.1249 0.6250
3 Ag 0.6250 0.6250 0.6250
4 Ag 0.1249 0.6250 0.6250
5 Th 0.2500 0.2500 0.2500
6 In 0.0000 0.0000 0.0000

Computed properties:
The calculation puts the energy relative to the elements at -85 meV per atom. Its electronic total energy is -3.68 eV per atom.

No. 13
Entry from Alexandria: a geometry-optimized ThInAg structure (GGA-PBE).

Lattice parameters (Å, degrees): 3.3518 6.4653 13.1014 141.61 90.00 105.02
Sites, in units of the cell vectors:
1 Th 0.0337 0.0673 0.8622
2 Th 0.9663 0.9327 0.1378
3 Ag 0.8322 0.6643 0.4859
4 Ag 0.1678 0.3357 0.5141
5 In 0.7750 0.5501 0.2264
6 In 0.2250 0.4499 0.7736

Computed properties:
The calculation puts the energy relative to the elements at -28 meV per atom. Its electronic total energy is -4.36 eV per atom.

No. 14
Entry from Alexandria: a geometry-optimized Th2InAg structure (GGA-PBE).

Lattice parameters (Å, degrees): 4.6345 4.8328 9.6189 90.00 90.00 90.00
Sites, in units of the cell vectors:
1 Th 0.0000 0.2500 0.1174
2 Th 0.0000 0.7500 0.8826
3 Th 0.0000 0.2500 0.6296
4 Th 0.0000 0.7500 0.3704
5 In 0.5000 0.2500 0.3708
6 In 0.5000 0.7500 0.6292
7 Ag 0.5000 0.2500 0.8736
8 Ag 0.5000 0.7500 0.1264

Computed properties:
The calculation puts the energy relative to the elements at -156 meV per atom. Its electronic total energy is -5.26 eV per atom.

No. 15
Entry from Alexandria: a geometry-optimized Th3In4Ag2 structure (GGA-PBE).

Lattice parameters (Å, degrees): 4.9960 6.1610 9.3536 115.37 90.00 113.92
Sites, in units of the cell vectors:
1 Th 0.6693 0.3386 0.6603
2 Th 0.0000 0.0000 0.0000
3 Th 0.3307 0.6614 0.3397
4 In 0.7228 0.4456 0.0631
5 In 0.2772 0.5544 0.9369
6 In 0.9505 0.9011 0.6202
7 In 0.0495 0.0989 0.3798
8 Ag 0.6016 0.2033 0.2715
9 Ag 0.3984 0.7967 0.7285

Computed properties:
The calculation puts the energy relative to the elements at -271 meV per atom. Its electronic total energy is -4.60 eV per atom.

No. 16
Entry from Alexandria: a geometry-optimized Th2InAg structure (GGA-PBE).

Lattice parameters (Å, degrees): 4.6583 4.8122 4.8122 90.00 90.00 90.00
Sites, in units of the cell vectors:
1 Ag 0.5000 0.5000 0.5000
2 Th 0.0000 0.0000 0.5000
3 Th 0.0000 0.5000 0.0000
4 In 0.5000 0.0000 0.0000

Computed properties:
The calculation puts the energy relative to the elements at -150 meV per atom. Its electronic total energy is -5.26 eV per atom.

No. 17
Entry from Alexandria: a geometry-optimized Th2In3Ag structure (GGA-PBE).

Lattice parameters (Å, degrees): 6.1876 6.1876 9.3588 103.62 103.62 106.72
Sites, in units of the cell vectors:
1 Th 0.2500 0.7500 0.5000
2 Th 0.7487 0.7487 0.0000
3 Th 0.7500 0.2500 0.5000
4 Th 0.2513 0.2513 0.0000
5 In 0.3392 0.8308 0.1700
6 In 0.1692 0.6608 0.8300
7 In 0.6608 0.1692 0.8300
8 In 0.8308 0.3392 0.1700
9 In 0.1692 0.1692 0.3384
10 In 0.8308 0.8308 0.6616
11 Ag 0.6669 0.6669 0.3337
12 Ag 0.3331 0.3331 0.6663

Computed properties:
The value obtained for the energy above the lowest structure with this stoichiometry is 0.004 eV per atom. The calculation puts the energy relative to the elements at -280 meV per atom. Its electronic total energy is -4.60 eV per atom.

No. 18
Entry from Alexandria: a geometry-optimized ThIn5Ag structure (GGA-PBE).

Lattice parameters (Å, degrees): 4.8740 4.8740 7.6136 90.00 90.00 90.00
Sites, in units of the cell vectors:
1 Th 0.0000 0.0000 0.0000
2 In 0.5000 0.0000 0.7054
3 In 0.0000 0.5000 0.7054
4 In 0.5000 0.5000 0.0000
5 In 0.0000 0.5000 0.2946
6 In 0.5000 0.0000 0.2946
7 Ag 0.0000 0.0000 0.5000

Computed properties:
The calculation puts the energy relative to the elements at -179 meV per atom. Its electronic total energy is -3.60 eV per atom.

No. 19
Entry from Alexandria: a geometry-optimized ThInAg structure (GGA-PBE).

Lattice parameters (Å, degrees): 3.2009 3.2009 8.6007 100.72 100.72 90.00
Sites, in units of the cell vectors:
1 Ag 0.7617 0.7617 0.5235
2 Th 0.9466 0.9466 0.8933
3 In 0.1416 0.1416 0.2832

Computed properties:
The calculation puts the energy relative to the elements at 469 meV per atom. Its electronic total energy is -3.87 eV per atom.

No. 20
Entry from Alexandria: a geometry-optimized Th2In2Ag structure (GGA-PBE).

Lattice parameters (Å, degrees): 4.8440 6.1401 10.3032 89.09 76.40 66.77
Sites, in units of the cell vectors:
1 Th 0.6865 0.2952 0.3319
2 Th 0.9134 0.2642 0.9089
3 Th 0.3135 0.7048 0.6681
4 Th 0.0866 0.7358 0.0911
5 In 0.0725 0.2846 0.5704
6 In 0.6446 0.8337 0.8770
7 In 0.9275 0.7154 0.4296
8 In 0.3554 0.1663 0.1230
9 Ag 0.6166 0.1103 0.6565
10 Ag 0.3834 0.8897 0.3435

Computed properties:
The calculation puts the energy relative to the elements at -250 meV per atom. Its electronic total energy is -4.88 eV per atom.